No. 1
# Be2TcHg

An optimized crystal structure of Be2TcHg (GGA-PBE, the Alexandria database).

Properties
volume	13.098	Å³/atom
E_form	334	meV/atom

Unit cell a=3.456 b=3.456 c=8.773 alpha=90.00 beta=90.00 gamma=90.00
Space group I-4m2 (No. 119)
Unique sites:
Be  0.000  0.000  0.000
Be  0.000  0.500  0.250
Tc  0.000  0.000  0.500
Hg  0.000  0.500  0.750

No. 2
# TcTe2As

An optimized crystal structure of TcTe2As (GGA-PBE, the Alexandria database).

Properties
volume	23.604	Å³/atom

Unit cell a=3.212 b=4.833 c=12.166 alpha=90.00 beta=90.00 gamma=90.00
Space group Imm2 (No. 44)
Unique sites:
Tc  0.000  0.000  0.000
Te  0.000  0.000  0.474
Te  0.000  0.500  0.684
As  0.000  0.500  0.334

No. 3
# BaCeHfN3

An optimized crystal structure of BaCeHfN3 (GGA-PBE, the Alexandria database).

Properties
volume	21.611	Å³/atom

Unit cell a=7.268 b=3.579 c=10.004 alpha=90.00 beta=94.69 gamma=90.00
Space group P2_1/m (No. 11)
Unique sites:
Ba  0.160  0.250  0.210
Ce  0.368  0.750  0.872
Hf  0.154  0.250  0.571
N  0.136  0.750  0.460
N  0.178  0.250  0.775
N  0.404  0.750  0.096

No. 4
# Cs2K2Pb

An optimized crystal structure of Cs2K2Pb (GGA-PBE, the Alexandria database).

Properties
volume	71.383	Å³/atom
E_form	-53	meV/atom

Unit cell a=10.163 b=15.480 c=10.202 alpha=90.00 beta=117.19 gamma=90.00
Space group C2/m (No. 12)
Unique sites:
Cs  0.065  0.213  0.267
K  0.207  0.500  0.881
K  0.249  0.500  0.365
Pb  0.000  0.401  0.500

No. 5
# Ac2ZnRhAu6

An optimized crystal structure of Ac2ZnRhAu6 (GGA-PBE, the Alexandria database).

Properties
volume	23.565	Å³/atom
E_form	-493	meV/atom

Unit cell a=12.783 b=5.458 c=9.259 alpha=90.00 beta=133.15 gamma=90.00
Space group C2/m (No. 12)
Unique sites:
Ac  0.222  0.000  0.190
Zn  0.000  0.000  0.500
Rh  0.000  0.500  0.000
Au  0.014  0.252  0.752
Au  0.249  0.500  0.399

No. 6
# Mn2FeOs

An optimized crystal structure of Mn2FeOs (GGA-PBE, the Alexandria database).

Properties
volume	12.028	Å³/atom
E_form	27	meV/atom

Unit cell a=3.639 b=3.639 c=3.633 alpha=90.00 beta=90.00 gamma=90.00
Space group P4/mmm (No. 123)
Unique sites:
Mn  0.000  0.500  0.000
Fe  0.000  0.000  0.500
Os  0.500  0.500  0.500

No. 7
# Zn2NiIr

An optimized crystal structure of Zn2NiIr (GGA-PBE, the Alexandria database).

Properties
volume	13.210	Å³/atom
E_form	-143	meV/atom

Unit cell a=3.074 b=4.272 c=8.048 alpha=90.00 beta=90.00 gamma=90.00
Space group Immm (No. 71)
Unique sites:
Zn  0.000  0.000  0.238
Ni  0.000  0.500  0.500
Ir  0.000  0.500  0.000

No. 8
# Cs3NbCl2F6

An optimized crystal structure of Cs3NbCl2F6 (GGA-PBE, the Alexandria database).

Properties
volume	30.799	Å³/atom

Unit cell a=17.032 b=8.448 c=5.139 alpha=90.00 beta=91.71 gamma=90.00
Space group C2/m (No. 12)
Unique sites:
Cs  0.000  0.000  0.000
Cs  0.250  0.250  0.500
Nb  0.000  0.500  0.500
Cl  0.194  0.000  0.000
F  0.035  0.334  0.738
F  0.104  0.500  0.356

Number 1: energy -4.196 eV per atom. Number 2: energy -5.101 eV per atom. Number 3: energy -8.273 eV per atom. Number 4: energy -1.576 eV per atom. Number 5: energy -4.144 eV per atom. Number 6: energy -9.481 eV per atom. Number 7: energy -4.441 eV per atom. Number 8: energy -4.995 eV per atom.